# PBE PtW2Au, optimized geometry
data_PtW2Au
_symmetry_space_group_name_H-M 'P 4 m m'
_symmetry_Int_Tables_number 99
_symmetry_space_group_name_Hall 'P 4 -2'
_cell_length_a 3.348
_cell_length_b 3.348
_cell_length_c 5.862
_cell_angle_alpha 90.00
_cell_angle_beta 90.00
_cell_angle_gamma 90.00
loop_
_atom_site_label
_atom_site_type_symbol
_atom_site_fract_x
_atom_site_fract_y
_atom_site_fract_z
Pt1 Pt 0.000 0.000 0.000
W1 W 0.000 0.000 0.485
W2 W 0.500 0.500 0.247
Au1 Au 0.500 0.500 0.749
# Total DFT energy (no corrections)   -8.64 eV/atom
# Formation energy from the elements   0.6 eV/f.u.
# Fermi-level density of states   3.5 states/eV/f.u.
# Distance to the lowest polymorph of the same formula   117.5 meV per atom
# Spin magnetization   0.00 μB per atom